1.
A relaxed SrEu2Au crystal. Source: Alexandria via LeMat-Bulk, functional GGA-PBE. Values from VASP.

## Properties
* E_form: -0.40 eV per atom

Cell and atoms, written as Quantum ESPRESSO input:
```
&SYSTEM
  ibrav = 0, nat = 4, ntyp = 3
/
ATOMIC_SPECIES
Eu 151.96 Eu.upf
Sr 87.62 Sr.upf
Au 196.97 Au.upf
ATOMIC_POSITIONS crystal
Eu 0.0000 0.0000 0.8223
Eu 0.0000 0.0000 0.1777
Sr 0.5000 0.5000 0.5000
Au 0.5000 0.5000 0.0000
CELL_PARAMETERS angstrom
3.8685 0.0000 0.0000
0.0000 3.8685 0.0000
0.0000 0.0000 9.7738
```


2.
A relaxed Sr2EuAu crystal. Source: Alexandria via LeMat-Bulk, functional GGA-PBE. Values from VASP.

## Properties
* E_form: -0.36 eV per atom

Cell and atoms, written as Quantum ESPRESSO input:
```
&SYSTEM
  ibrav = 0, nat = 4, ntyp = 3
/
ATOMIC_SPECIES
Sr 87.62 Sr.upf
Au 196.97 Au.upf
Eu 151.96 Eu.upf
ATOMIC_POSITIONS crystal
Sr 0.0000 0.0000 0.8181
Sr 0.0000 0.0000 0.1819
Au 0.5000 0.5000 0.0000
Eu 0.5000 0.5000 0.5000
CELL_PARAMETERS angstrom
-1.5857 -1.0853 3.3967
3.3400 -1.7539 0.9989
3.2258 8.5583 4.2404
```


3.
A relaxed SrEuTlAu crystal. Source: Alexandria via LeMat-Bulk, functional GGA-PBE. Values from VASP.

## Properties
* E_form: -0.53 eV per atom

Cell and atoms, written as Quantum ESPRESSO input:
```
&SYSTEM
  ibrav = 0, nat = 4, ntyp = 4
/
ATOMIC_SPECIES
Sr 87.62 Sr.upf
Tl 204.38 Tl.upf
Eu 151.96 Eu.upf
Au 196.97 Au.upf
ATOMIC_POSITIONS crystal
Sr 0.2500 0.2500 0.2500
Tl 0.5000 0.5000 0.5000
Eu 0.7500 0.7500 0.7500
Au 0.0000 0.0000 0.0000
CELL_PARAMETERS angstrom
5.5277 0.0000 0.0000
2.7639 4.7871 0.0000
2.7639 1.5957 4.5134
```


4.
A relaxed TbEuAu2 crystal. Source: Alexandria via LeMat-Bulk, functional GGA-PBE. Values from VASP.

## Properties
* E_form: -0.78 eV per atom

Cell and atoms, written as Quantum ESPRESSO input:
```
&SYSTEM
  ibrav = 0, nat = 4, ntyp = 3
/
ATOMIC_SPECIES
Tb 158.93 Tb.upf
Au 196.97 Au.upf
Eu 151.96 Eu.upf
ATOMIC_POSITIONS crystal
Tb 0.5000 0.5000 0.5000
Au 0.2500 0.2500 0.2500
Au 0.7500 0.7500 0.7500
Eu 0.0000 0.0000 0.0000
CELL_PARAMETERS angstrom
5.1846 0.0000 0.0000
2.5923 4.4900 0.0000
2.5923 1.4967 4.2332
```


5.
A relaxed Tb2EuAu crystal. Source: Alexandria via LeMat-Bulk, functional GGA-PBE. Values from VASP.

## Properties
* E_form: -0.26 eV per atom

Cell and atoms, written as Quantum ESPRESSO input:
```
&SYSTEM
  ibrav = 0, nat = 4, ntyp = 3
/
ATOMIC_SPECIES
Eu 151.96 Eu.upf
Tb 158.93 Tb.upf
Au 196.97 Au.upf
ATOMIC_POSITIONS crystal
Eu 0.5000 0.5000 0.5000
Tb 0.7307 0.7307 0.8079
Tb 0.2693 0.2693 0.1921
Au 0.0000 0.0000 0.0000
CELL_PARAMETERS angstrom
3.8332 0.0000 0.0000
1.9166 3.3197 0.0000
1.9166 1.1066 10.1860
```


6.
A relaxed TbEuAu2 crystal. Source: Alexandria via LeMat-Bulk, functional GGA-PBE. Values from VASP.

## Properties
* E_form: -0.82 eV per atom

Cell and atoms, written as Quantum ESPRESSO input:
```
&SYSTEM
  ibrav = 0, nat = 4, ntyp = 3
/
ATOMIC_SPECIES
Tb 158.93 Tb.upf
Au 196.97 Au.upf
Eu 151.96 Eu.upf
ATOMIC_POSITIONS crystal
Tb 0.5000 0.5000 0.0000
Au 0.0000 0.0000 0.2214
Au 0.0000 0.0000 0.7786
Eu 0.5000 0.5000 0.5000
CELL_PARAMETERS angstrom
3.6727 0.0000 0.0000
0.0000 3.6727 0.0000
0.0000 0.0000 7.3980
```


7.
A relaxed Tb2EuAu crystal. Source: Alexandria via LeMat-Bulk, functional GGA-PBE. Values from VASP.

## Properties
* E_form: -0.35 eV per atom

Cell and atoms, written as Quantum ESPRESSO input:
```
&SYSTEM
  ibrav = 0, nat = 4, ntyp = 3
/
ATOMIC_SPECIES
Tb 158.93 Tb.upf
Au 196.97 Au.upf
Eu 151.96 Eu.upf
ATOMIC_POSITIONS crystal
Tb 0.0000 0.0000 0.8083
Tb 0.0000 0.0000 0.1917
Au 0.5000 0.5000 0.0000
Eu 0.5000 0.5000 0.5000
CELL_PARAMETERS angstrom
3.6640 0.0000 0.0000
0.0000 3.6640 0.0000
0.0000 0.0000 8.9626
```


8.
A relaxed TbEuAu2 crystal. Source: Alexandria via LeMat-Bulk, functional GGA-PBE. Values from VASP.

## Properties
* E_form: -0.72 eV per atom

Cell and atoms, written as Quantum ESPRESSO input:
```
&SYSTEM
  ibrav = 0, nat = 4, ntyp = 3
/
ATOMIC_SPECIES
Au 196.97 Au.upf
Eu 151.96 Eu.upf
Tb 158.93 Tb.upf
ATOMIC_POSITIONS crystal
Au 0.7430 0.7430 0.7709
Au 0.2570 0.2570 0.2291
Eu 0.5000 0.5000 0.5000
Tb 0.0000 0.0000 0.0000
CELL_PARAMETERS angstrom
4.2845 0.0000 0.0000
2.1422 3.7105 0.0000
2.1422 1.2368 7.1094
```


9.
A relaxed TbEuZnAu crystal. Source: Alexandria via LeMat-Bulk, functional GGA-PBE. Values from VASP.

## Properties
* E_form: -0.53 eV per atom

Cell and atoms, written as Quantum ESPRESSO input:
```
&SYSTEM
  ibrav = 0, nat = 4, ntyp = 4
/
ATOMIC_SPECIES
Au 196.97 Au.upf
Eu 151.96 Eu.upf
Tb 158.93 Tb.upf
Zn 65.41 Zn.upf
ATOMIC_POSITIONS crystal
Au 0.5000 0.5000 0.5000
Eu 0.7500 0.7500 0.7500
Tb 0.2500 0.2500 0.2500
Zn 0.0000 0.0000 0.0000
CELL_PARAMETERS angstrom
5.1839 0.0000 0.0000
2.5919 4.4894 0.0000
2.5919 1.4965 4.2326
```


10.
A relaxed EuTeAu4 crystal. Source: Alexandria via LeMat-Bulk, functional GGA-PBE. Values from VASP.

## Properties
* energy: -4.897 eV per atom

Cell and atoms, written as Quantum ESPRESSO input:
```
&SYSTEM
  ibrav = 0, nat = 6, ntyp = 3
/
ATOMIC_SPECIES
Au 196.97 Au.upf
Te 127.60 Te.upf
Eu 151.96 Eu.upf
ATOMIC_POSITIONS crystal
Au 0.6251 0.1246 0.6251
Au 0.6251 0.6251 0.6251
Au 0.1246 0.6251 0.6251
Au 0.6251 0.6251 0.1246
Te 0.2500 0.2500 0.2500
Eu 0.0000 0.0000 0.0000
CELL_PARAMETERS angstrom
-3.5947 3.2610 3.0401
-5.6316 -0.2337 -1.0140
-3.5028 -2.4095 3.8369
```


11.
A relaxed EuTe2Au crystal. Source: Alexandria via LeMat-Bulk, functional GGA-PBE. Values from VASP.

## Properties
* energy: -5.096 eV per atom

Cell and atoms, written as Quantum ESPRESSO input:
```
&SYSTEM
  ibrav = 0, nat = 4, ntyp = 3
/
ATOMIC_SPECIES
Eu 151.96 Eu.upf
Te 127.60 Te.upf
Au 196.97 Au.upf
ATOMIC_POSITIONS crystal
Eu 0.0000 0.0000 0.0000
Te 0.8885 0.8885 0.3344
Te 0.1115 0.1115 0.6656
Au 0.5000 0.5000 0.5000
CELL_PARAMETERS angstrom
-0.9641 3.9592 0.6561
-3.9575 1.1527 0.2109
-1.5902 0.1759 9.5841
```


12.
A relaxed Eu2TeAu crystal. Source: Alexandria via LeMat-Bulk, functional GGA-PBE. Values from VASP.

## Properties
* energy: -7.869 eV per atom

Cell and atoms, written as Quantum ESPRESSO input:
```
&SYSTEM
  ibrav = 0, nat = 4, ntyp = 3
/
ATOMIC_SPECIES
Au 196.97 Au.upf
Eu 151.96 Eu.upf
Te 127.60 Te.upf
ATOMIC_POSITIONS crystal
Au 0.5000 0.5000 0.5000
Eu 0.7541 0.7541 0.7376
Eu 0.2459 0.2459 0.2624
Te 0.0000 0.0000 0.0000
CELL_PARAMETERS angstrom
-1.3154 3.6100 -2.4074
-0.2227 -0.2492 -4.5217
-7.5363 -1.1258 -1.8399
```


13.
A relaxed EuTeAu crystal. Source: Alexandria via LeMat-Bulk, functional GGA-PBE. Values from VASP.

## Properties
* energy: -6.416 eV per atom

Cell and atoms, written as Quantum ESPRESSO input:
```
&SYSTEM
  ibrav = 0, nat = 3, ntyp = 3
/
ATOMIC_SPECIES
Eu 151.96 Eu.upf
Te 127.60 Te.upf
Au 196.97 Au.upf
ATOMIC_POSITIONS crystal
Eu 0.0309 0.0000 0.0000
Te 0.5970 0.3333 0.6667
Au 0.3720 0.6667 0.3333
CELL_PARAMETERS angstrom
-0.4595 -4.4314 0.8937
3.1058 0.3763 3.4628
-4.5416 0.6441 0.8587
```


14.
A relaxed Eu2TeAu crystal. Source: Alexandria via LeMat-Bulk, functional GGA-PBE. Values from VASP.

## Properties
* energy: -7.843 eV per atom

Cell and atoms, written as Quantum ESPRESSO input:
```
&SYSTEM
  ibrav = 0, nat = 4, ntyp = 3
/
ATOMIC_SPECIES
Te 127.60 Te.upf
Au 196.97 Au.upf
Eu 151.96 Eu.upf
ATOMIC_POSITIONS crystal
Te 0.5000 0.5000 0.5000
Au 0.5000 0.5000 0.0000
Eu 0.0000 0.0000 0.7568
Eu 0.0000 0.0000 0.2432
CELL_PARAMETERS angstrom
3.9177 0.0000 0.0000
0.0000 3.9177 0.0000
0.0000 0.0000 7.5393
```


15.
A relaxed EuTeAu crystal. Source: Alexandria via LeMat-Bulk, functional GGA-PBE. Values from VASP.

## Properties
* energy: -6.371 eV per atom

Cell and atoms, written as Quantum ESPRESSO input:
```
&SYSTEM
  ibrav = 0, nat = 3, ntyp = 3
/
ATOMIC_SPECIES
Eu 151.96 Eu.upf
Au 196.97 Au.upf
Te 127.60 Te.upf
ATOMIC_POSITIONS crystal
Eu 0.9543 0.9543 0.9085
Au 0.2899 0.2899 0.5798
Te 0.6058 0.6058 0.2117
CELL_PARAMETERS angstrom
4.1679 0.0000 0.0000
0.0000 4.1679 0.0000
-2.0839 -2.0839 4.7513
```


16.
A relaxed EuTlTeAu crystal. Source: Alexandria via LeMat-Bulk, functional GGA-PBE. Values from VASP.

## Properties
* energy: -5.442 eV per atom

Cell and atoms, written as Quantum ESPRESSO input:
```
&SYSTEM
  ibrav = 0, nat = 4, ntyp = 4
/
ATOMIC_SPECIES
Tl 204.38 Tl.upf
Eu 151.96 Eu.upf
Te 127.60 Te.upf
Au 196.97 Au.upf
ATOMIC_POSITIONS crystal
Tl 0.5000 0.5000 0.5000
Eu 0.0000 0.0000 0.0000
Te 0.2500 0.2500 0.2500
Au 0.7500 0.7500 0.7500
CELL_PARAMETERS angstrom
5.4843 0.0000 0.0000
2.7421 4.7495 0.0000
2.7421 1.5832 4.4779
```


17.
A relaxed EuThAu2 crystal. Source: Alexandria via LeMat-Bulk, functional GGA-PBE. Values from VASP.

## Properties
* E_form: -0.64 eV per atom

Cell and atoms, written as Quantum ESPRESSO input:
```
&SYSTEM
  ibrav = 0, nat = 4, ntyp = 3
/
ATOMIC_SPECIES
Eu 151.96 Eu.upf
Th 232.04 Th.upf
Au 196.97 Au.upf
ATOMIC_POSITIONS crystal
Eu 0.5000 0.5000 0.5000
Th 0.0000 0.0000 0.0000
Au 0.7500 0.7500 0.7500
Au 0.2500 0.2500 0.2500
CELL_PARAMETERS angstrom
5.2608 0.0000 0.0000
2.6304 4.5560 0.0000
2.6304 1.5187 4.2954
```


18.
A relaxed EuThAu2 crystal. Source: Alexandria via LeMat-Bulk, functional GGA-PBE. Values from VASP.

## Properties
* E_form: -0.67 eV per atom

Cell and atoms, written as Quantum ESPRESSO input:
```
&SYSTEM
  ibrav = 0, nat = 4, ntyp = 3
/
ATOMIC_SPECIES
Th 232.04 Th.upf
Eu 151.96 Eu.upf
Au 196.97 Au.upf
ATOMIC_POSITIONS crystal
Th 0.5000 0.0000 0.0000
Eu 0.5000 0.5000 0.5000
Au 0.0000 0.0000 0.5000
Au 0.0000 0.5000 0.0000
CELL_PARAMETERS angstrom
-0.4143 -2.6096 -2.4826
-0.7450 -3.5780 3.8855
-5.2467 0.9541 -0.1273
```


19.
A relaxed EuThAu crystal. Source: Alexandria via LeMat-Bulk, functional GGA-PBE. Values from VASP.

## Properties
* E_form: -0.18 eV per atom

Cell and atoms, written as Quantum ESPRESSO input:
```
&SYSTEM
  ibrav = 0, nat = 3, ntyp = 3
/
ATOMIC_SPECIES
Th 232.04 Th.upf
Au 196.97 Au.upf
Eu 151.96 Eu.upf
ATOMIC_POSITIONS crystal
Th 0.0571 0.0000 0.0000
Au 0.3031 0.3333 0.6667
Eu 0.6398 0.6667 0.3333
CELL_PARAMETERS angstrom
-3.7738 -0.3356 0.6458
0.5054 -5.0130 0.3487
0.4504 2.8766 4.1267
```


20.
A relaxed EuThAu2 crystal. Source: Alexandria via LeMat-Bulk, functional GGA-PBE. Values from VASP.

## Properties
* E_form: -0.59 eV per atom

Cell and atoms, written as Quantum ESPRESSO input:
```
&SYSTEM
  ibrav = 0, nat = 4, ntyp = 3
/
ATOMIC_SPECIES
Au 196.97 Au.upf
Th 232.04 Th.upf
Eu 151.96 Eu.upf
ATOMIC_POSITIONS crystal
Au 0.7444 0.7444 0.7669
Au 0.2556 0.2556 0.2331
Th 0.0000 0.0000 0.0000
Eu 0.5000 0.5000 0.5000
CELL_PARAMETERS angstrom
4.1959 0.0000 0.0000
2.0980 3.6338 0.0000
2.0980 1.2113 7.7200
```